[1]
Computed, not measured: Cu4Ag after structural relaxation at the PBE level of DFT.

abc: 18.2429 2.6996 5.3570
angles: 90.00 98.81 90.00
Space group C2/m (No. 12)
Symmetry-distinct sites (fractional):
Cu (0.0000, 0.0000, 0.0000)
Cu (0.0000, 0.0000, 0.5000)
Cu (0.0917, 0.5000, 0.3071)
Cu (0.0928, 0.5000, 0.7875)
Cu (0.1938, 0.0000, 0.5948)
Ag (0.1942, 0.0000, 0.1058)

Results
Formation energy from the elements (eV/atom): 0.0672
Energy above the most stable polymorph in this dataset (eV/f.u.): 0.12
Electronic total energy (eV/f.u.): -17.4

[2]
Computed, not measured: LiHgPd2 after structural relaxation at the PBE level of DFT.

abc: 4.5339 4.5339 6.3471
angles: 90.00 90.00 90.00
Space group I4/mmm (No. 139)
Symmetry-distinct sites (fractional):
Li (0.0000, 0.0000, 0.0000)
Hg (0.0000, 0.0000, 0.5000)
Pd (0.0000, 0.5000, 0.2500)

Results
Electronic total energy (eV/f.u.): -14.0